VASP calculation (GGA-PBE) on a geometry-optimized AcPm5Pr2Y structure.

Summary:
Volume, Å³/atom: 36.13
DFT formation energy, eV/atom: 0.250

a = 9.0221 Å, b = 9.0221 Å, c = 15.9802 Å
α = 90.00°, β = 90.00°, γ = 90.00°
Closest atoms and distances in Å follow each position.
Space group I4/mcm (No. 140)
Symmetry-distinct sites (fractional):
Ac (0.0000, 0.0000, 0.2500) x4  10 Pm 3.73-4.00
Pm (0.0000, 0.0000, 0.0000) x4  4 Pr 3.61, 8 Pm 3.88, 2 Ac 4.00
Pm (0.2072, 0.2928, 0.1344) x16  1 Pr 3.10, 1 Y 3.23
Pr (0.1174, 0.3826, 0.5000) x8  1 Pr 3.00, 2 Pm 3.10
Y (0.0000, 0.5000, 0.2500) x4  4 Pm 3.23


VASP calculation (GGA-PBE) on a geometry-optimized TbGdZnAg structure.

Summary:
Volume, Å³/atom: 23.99
DFT formation energy, eV/atom: -0.312

a = 7.2673 Å, b = 7.2673 Å, c = 7.2673 Å
α = 90.00°, β = 90.00°, γ = 90.00°
Closest atoms and distances in Å follow each position.
Space group F-43m (No. 216)
Symmetry-distinct sites (fractional):
Tb (0.0000, 0.0000, 0.0000) x4  4 Zn 3.15, 4 Ag 3.15
Gd (0.0000, 0.0000, 0.5000) x4  4 Zn 3.15, 4 Ag 3.15
Zn (0.2500, 0.2500, 0.2500) x4  4 Gd 3.15, 4 Tb 3.15
Ag (0.2500, 0.2500, 0.7500) x4  4 Gd 3.15, 4 Tb 3.15


VASP calculation (GGA-PBE) on a geometry-optimized Tb6HgRu2 structure.

Summary:
Volume, Å³/atom: 25.92
DFT formation energy, eV/atom: -0.351

a = 9.4020 Å, b = 9.4724 Å, c = 10.4786 Å
α = 90.00°, β = 90.00°, γ = 90.00°
Closest atoms and distances in Å follow each position.
Space group Immm (No. 71)
Symmetry-distinct sites (fractional):
Tb (0.0000, 0.2010, 0.2405) x8  1 Ru 2.78
Tb (0.1870, 0.5000, 0.1704) x8  3 Ru 2.76-3.00
Tb (0.2149, 0.3177, 0.5000) x8  3 Ru 2.97-3.00, 1 Hg 3.19
Hg (0.0000, 0.0000, 0.0000) x2  2 Ru 3.08, 8 Tb 3.16-3.19
Hg (0.0000, 0.0000, 0.5000) x2  12 Tb 3.32-3.62
Ru (0.0000, 0.3253, 0.0000) x4  8 Tb 2.78-3.00, 1 Hg 3.08
Ru (0.0000, 0.5000, 0.3729) x4  1 Ru 2.66, 6 Tb 2.76-2.97


VASP calculation (GGA-PBE) on a geometry-optimized MnCdW2 structure.

Summary:
Volume, Å³/atom: 16.03
DFT formation energy, eV/atom: 0.499

a = 2.7151 Å, b = 2.7151 Å, c = 8.6975 Å
α = 90.00°, β = 90.00°, γ = 90.00°
Closest atoms and distances in Å follow each position.
Space group P4/mmm (No. 123)
Symmetry-distinct sites (fractional):
Mn (0.0000, 0.0000, 0.0000) x1  4 Mn 2.72, 8 W 2.75
Cd (0.0000, 0.0000, 0.5000) x1  4 Cd 2.72
W (0.5000, 0.5000, 0.2266) x2  4 W 2.72, 4 Mn 2.75


VASP calculation (GGA-PBE) on a geometry-optimized Na2Cu2Te7 structure.

Summary:
Volume, Å³/atom: 28.85
Energy relative to the elements, uncorrected, kJ/mol of atoms: -2

a = 8.3384 Å, b = 9.8746 Å, c = 7.7088 Å
α = 90.00°, β = 90.00°, γ = 90.00°
Closest atoms and distances in Å follow each position.
Space group Cmmm (No. 65)
Symmetry-distinct sites (fractional):
Na (0.2041, 0.0000, 0.0000) x4  6 Te 3.21-3.22, 1 Na 3.40
Cu (0.0000, 0.2797, 0.5000) x4  7 Te 2.76-2.83
Te (0.0000, 0.0000, 0.5000) x2  2 Cu 2.76
Te (0.0000, 0.5000, 0.2657) x4  2 Cu 2.83
Te (0.2500, 0.2500, 0.2629) x8  2 Cu 2.79


VASP calculation (GGA-PBE) on a geometry-optimized KAl2Se structure.

Summary:
Volume, Å³/atom: 24.68
Energy relative to the elements, uncorrected, kJ/mol of atoms: -22

a = 3.6947 Å, b = 3.6947 Å, c = 7.2317 Å
α = 90.00°, β = 90.00°, γ = 90.00°
Closest atoms and distances in Å follow each position.
Space group P4mm (No. 99)
Symmetry-distinct sites (fractional):
K (0.0000, 0.0000, 0.0000) x1  4 Se 3.45, 6 Al 3.57-3.62, 4 K 3.69
Al (0.0000, 0.0000, 0.5006) x1  4 Al 2.86, 4 Se 2.95
Al (0.5000, 0.5000, 0.6632) x1  1 Se 2.54
Se (0.5000, 0.5000, 0.3122) x1  1 Al 2.54


VASP calculation (GGA-PBE) on a geometry-optimized ZrAl structure.

Summary:
Volume, Å³/atom: 19.69
DFT formation energy, eV/atom: -0.276

a = 10.3512 Å, b = 3.2551 Å, c = 7.6556 Å
α = 90.00°, β = 113.66°, γ = 90.00°
Closest atoms and distances in Å follow each position.
Space group C2/m (No. 12)
Symmetry-distinct sites (fractional):
Zr (0.0000, 0.0000, 0.0000) x2  4 Al 3.02, 8 Zr 3.07-3.26
Zr (0.1765, 0.5000, 0.8029) x4  5 Al 2.82-3.13, 1 Zr 3.07
Al (0.0000, 0.0000, 0.5000) x2  4 Al 2.79, 4 Zr 2.82
Al (0.1538, 0.5000, 0.3567) x4  4 Al 2.79-2.82, 4 Zr 2.99-3.02


VASP calculation (GGA-PBE) on a geometry-optimized ThZn11Os structure.

Summary:
Volume, Å³/atom: 16.16
DFT formation energy, eV/atom: -0.122

a = 5.2026 Å, b = 12.9686 Å, c = 6.6931 Å
α = 90.00°, β = 111.52°, γ = 90.00°
Closest atoms and distances in Å follow each position.
Space group C2/m (No. 12)
Symmetry-distinct sites (fractional):
Th (0.0000, 0.0000, 0.0000) x2  18 Zn 3.19-3.49, 2 Os 3.35
Zn (0.0000, 0.5000, 0.5000) x2  8 Zn 2.59-2.83, 2 Os 2.60
Zn (0.1111, 0.3880, 0.2209) x8  7 Zn 2.59-2.89, 1 Os 2.63
Zn (0.1557, 0.1754, 0.3587) x8  8 Zn 2.63-2.91, 1 Os 2.70
Zn (0.2500, 0.2500, 0.0000) x4  10 Zn 2.59-2.79
Os (0.0000, 0.0000, 0.5000) x2  10 Zn 2.60-2.70


VASP calculation (GGA-PBE) on a geometry-optimized ZnAs4Pb structure.

Summary:
Volume, Å³/atom: 22.33
DFT formation energy, eV/atom: 0.328

a = 8.1231 Å, b = 8.1231 Å, c = 8.1231 Å
α = 90.00°, β = 90.00°, γ = 90.00°
Closest atoms and distances in Å follow each position.
Space group F-43m (No. 216)
Symmetry-distinct sites (fractional):
Zn (0.0000, 0.0000, 0.0000) x4  12 As 3.36, 4 Pb 3.52
As (0.1296, 0.1296, 0.6296) x16  6 As 2.77-2.98
Pb (0.2500, 0.2500, 0.2500) x4  12 As 3.38, 4 Zn 3.52


VASP calculation (GGA-PBE) on a geometry-optimized Nb3VB structure.

Summary:
Volume, Å³/atom: 16.56
DFT formation energy, eV/atom: 0.208

a = 4.3584 Å, b = 4.3584 Å, c = 4.3584 Å
α = 90.00°, β = 90.00°, γ = 90.00°
Closest atoms and distances in Å follow each position.
Space group Pm-3m (No. 221)
Symmetry-distinct sites (fractional):
Nb (0.0000, 0.0000, 0.5000) x3  2 B 2.18
V (0.5000, 0.5000, 0.5000) x1  12 Nb 3.08
B (0.0000, 0.0000, 0.0000) x1  6 Nb 2.18


VASP calculation (GGA-PBE) on a geometry-optimized NiSb2Pd2 structure.

Summary:
Volume, Å³/atom: 18.76
Energy relative to the elements, uncorrected, kJ/mol of atoms: -9

a = 6.8104 Å, b = 6.8104 Å, c = 4.0455 Å
α = 90.00°, β = 90.00°, γ = 90.00°
Closest atoms and distances in Å follow each position.
Space group P4/mbm (No. 127)
Symmetry-distinct sites (fractional):
Ni (0.0000, 0.0000, 0.0000) x2  4 Sb 2.56
Sb (0.1606, 0.3394, 0.0000) x4  2 Ni 2.56, 2 Pd 2.75
Pd (0.1456, 0.6456, 0.5000) x4  6 Sb 2.75-2.91, 1 Pd 2.80


VASP calculation (GGA-PBE) on a geometry-optimized MnAlOs2 structure.

Summary:
Volume, Å³/atom: 13.88
DFT formation energy, eV/atom: -0.088

a = 2.7554 Å, b = 3.8421 Å, c = 5.2448 Å
α = 90.00°, β = 90.00°, γ = 90.00°
Closest atoms and distances in Å follow each position.
Space group Pmm2 (No. 25)
Symmetry-distinct sites (fractional):
Mn (0.0000, 0.0000, 0.0000) x1  6 Os 2.61-2.72, 4 Al 2.68, 2 Mn 2.76
Al (0.5000, 0.5000, 0.7584) x1  6 Os 2.61-2.72, 4 Mn 2.68, 2 Al 2.76
Os (0.0000, 0.0000, 0.5017) x1  2 Mn 2.61-2.63, 6 Os 2.69-2.76, 4 Al 2.72
Os (0.5000, 0.5000, 0.2558) x1  2 Al 2.61-2.64, 6 Os 2.69-2.76, 4 Mn 2.72